# TlReNiO4, relaxed, DFT GGA+U
data_TlReNiO4
_cell_length_a 4.864
_cell_length_b 6.103
_cell_length_c 8.830
_cell_angle_alpha 90.00
_cell_angle_beta 101.42
_cell_angle_gamma 90.00
_symmetry_space_group_name_H-M 'P 1 21/m 1'
_symmetry_Int_Tables_number 11
loop_
_symmetry_equiv_pos_as_xyz
'x,y,z'
'-x,-y,-z'
'-x,y+1/2,-z'
'x,-y+1/2,z'
loop_
_atom_site_label
_atom_site_type_symbol
_atom_site_fract_x
_atom_site_fract_y
_atom_site_fract_z
_atom_site_occupancy
Tl1 Tl 0.150 0.250 0.123 1
Re1 Re 0.356 0.250 0.715 1
Ni1 Ni 0.366 0.750 0.630 1
O1 O 0.185 0.512 0.729 1
O2 O 0.356 0.750 0.125 1
O3 O 0.390 0.250 0.514 1
# Magnetization   0.0 Bohr magnetons per cell
# Energy   -6.3267 eV/atom
# Mass density   6.63 g/cm³
# V   18.4 Å³ per atom